a.
SrCrIrSI, relaxed, DFT PBE; N(E_F) = 0.477 states/eV per atom; spin magnetization = 2.17 μB per formula unit
1.0
3.444 -2.134 0.000
3.444 2.134 0.000
-2.152 0.000 8.182
Sr Cr Ir S I
1 1 1 1 1
direct
0.000 0.000 0.000
0.398 0.398 0.313
0.076 0.076 0.405
0.726 0.726 0.214
0.263 0.263 0.722


b.
SrCrIrSI, relaxed, DFT PBE; N(E_F) = 0.444 states/eV per atom; spin magnetization = 2.15 μB per formula unit
1.0
7.810 -1.963 0.000
7.810 1.963 0.000
-1.006 0.000 4.437
Sr Cr Ir S I
1 1 1 1 1
direct
0.000 0.000 0.000
0.204 0.204 0.204
0.651 0.651 0.912
0.141 0.141 0.603
0.386 0.386 0.412


c.
SrCrIrSI, relaxed, DFT PBE; N(E_F) = 0.392 states/eV per atom; spin magnetization = 3.97 μB per formula unit
1.0
4.139 0.000 0.000
-1.202 4.163 0.000
-0.861 -1.222 7.936
Sr Cr Ir S I
1 1 1 1 1
direct
0.000 0.000 0.000
0.829 0.591 0.621
0.446 0.013 0.710
0.316 0.487 0.764
0.698 0.476 0.258


d.
SrCrIrSI, relaxed, DFT PBE; N(E_F) = 0.351 states/eV per atom; spin magnetization = 2.21 μB per formula unit
1.0
4.503 0.000 0.000
0.000 4.082 0.000
-1.489 0.000 7.272
Sr Cr Ir S I
1 1 1 1 1
direct
0.000 0.000 0.000
0.357 0.500 0.382
0.576 0.000 0.301
0.852 0.500 0.264
0.408 0.500 0.758


Quick look at relative energies in kJ/mol of atoms: a 10.9; b 4.2; c 0.9; d 0.0.


a.
SrCrIrSI, relaxed, DFT PBE; N(E_F) = 0.718 states/eV per atom; spin magnetization = 2.00 μB per formula unit
1.0
5.859 -1.902 0.000
5.859 1.902 0.000
-1.747 0.000 5.544
Sr Cr Ir S I
1 1 1 1 1
direct
0.000 0.000 0.000
0.729 0.729 0.579
0.351 0.351 0.551
0.524 0.524 0.421
0.731 0.731 0.043


b.
SrCrIrSI, relaxed, DFT PBE; N(E_F) = 0.288 states/eV per atom; spin magnetization = 2.02 μB per formula unit
1.0
4.027 0.000 0.000
0.000 4.524 0.000
0.000 0.000 7.644
Sr Cr Ir S I
1 1 1 1 1
direct
0.000 0.000 0.000
0.500 0.500 0.575
0.000 0.500 0.730
0.500 0.500 0.923
0.500 0.000 0.373


Quick look at relative energies in kJ/mol of atoms: a 0.0; b 1.7.


a.
CrTeIrI2, relaxed, DFT PBE; N(E_F) = 1.051 states/eV per atom; spin magnetization = 4.75 μB per formula unit
1.0
5.602 0.000 0.000
0.000 5.602 0.000
0.000 0.000 5.079
Cr Te Ir I
1 1 1 2
direct
0.000 0.000 0.000
0.500 0.500 0.000
0.500 0.500 0.500
0.000 0.500 0.500
0.500 0.000 0.500


b.
CrTeIrI2, relaxed, DFT PBE; N(E_F) = 1.332 states/eV per atom; spin magnetization = 0.56 μB per formula unit
1.0
5.434 0.000 0.000
0.000 5.434 0.000
0.000 0.000 4.744
Cr Te Ir I
1 1 1 2
direct
0.000 0.000 0.000
0.500 0.500 0.000
0.000 0.000 0.500
0.000 0.500 0.500
0.500 0.000 0.500


Quick look at relative energies in kJ/mol of atoms: a 0.0; b 34.9.


a.
KCrTeI2, relaxed, DFT PBE; N(E_F) = 0.482 states/eV per atom; spin magnetization = 3.00 μB per formula unit
1.0
5.856 0.000 0.000
0.000 5.856 0.000
0.000 0.000 5.246
K Cr Te I
1 1 1 2
direct
0.000 0.000 0.000
0.500 0.500 0.500
0.500 0.500 0.000
0.000 0.500 0.500
0.500 0.000 0.500


b.
KCrTeI2, relaxed, DFT PBE; N(E_F) = 1.364 states/eV per atom; spin magnetization = 2.97 μB per formula unit
1.0
6.382 0.000 0.000
0.000 6.382 0.000
0.000 0.000 6.342
K Cr Te I
1 1 1 2
direct
0.000 0.000 0.000
0.500 0.500 0.500
0.000 0.000 0.500
0.000 0.500 0.000
0.500 0.000 0.000


Quick look at relative energies in kJ/mol of atoms: a 0.0; b 103.7.


a.
KCrTe2I, relaxed, DFT PBE; N(E_F) = 0.816 states/eV per atom; spin magnetization = 2.59 μB per formula unit
1.0
5.287 0.000 0.000
0.000 5.287 0.000
0.000 0.000 6.082
K Cr Te I
1 1 2 1
direct
0.000 0.000 0.000
0.500 0.500 0.500
0.000 0.500 0.500
0.500 0.000 0.500
0.500 0.500 0.000


b.
KCrTe2I, relaxed, DFT PBE; N(E_F) = 1.028 states/eV per atom; spin magnetization = 1.97 μB per formula unit
1.0
6.334 0.000 0.000
0.000 6.334 0.000
0.000 0.000 6.235
K Cr Te I
1 1 2 1
direct
0.000 0.000 0.000
0.500 0.500 0.500
0.000 0.500 0.000
0.500 0.000 0.000
0.000 0.000 0.500


c.
KCrTe2I, relaxed, DFT PBE; N(E_F) = 0.555 states/eV per atom; spin magnetization = 5.01 μB per formula unit
1.0
6.130 0.000 0.000
0.000 6.130 0.000
0.000 0.000 6.017
K Cr Te I
1 1 2 1
direct
0.000 0.000 0.000
0.500 0.500 0.000
0.000 0.500 0.500
0.500 0.000 0.500
0.000 0.000 0.500


Quick look at relative energies in kJ/mol of atoms: a 0.0; b 117.3; c 92.5.


a.
La2CrI2, relaxed, DFT PBE; N(E_F) = 1.778 states/eV per atom; spin magnetization = 0.07 μB per formula unit
1.0
-3.123 3.123 4.219
3.123 -3.123 4.219
3.123 3.123 -4.219
La Cr I
2 1 2
direct
0.250 0.750 0.500
0.750 0.250 0.500
0.000 0.000 0.000
0.302 0.302 0.000
0.698 0.698 0.000


b.
La2CrI2, relaxed, DFT PBE; N(E_F) = 0.369 states/eV per atom; spin magnetization = 0.00 μB per formula unit
1.0
7.269 0.000 0.000
0.000 7.269 0.000
0.000 0.000 5.316
La Cr I
4 2 4
direct
0.171 0.329 0.000
0.329 0.829 0.000
0.671 0.171 0.000
0.829 0.671 0.000
0.000 0.000 0.500
0.500 0.500 0.500
0.167 0.667 0.500
0.333 0.167 0.500
0.667 0.833 0.500
0.833 0.333 0.500


Quick look at relative energies in kJ/mol of atoms: a 8.6; b 0.0.


a.
La2CrI, relaxed, DFT PBE; N(E_F) = 0.430 states/eV per atom; spin magnetization = 0.00 μB per formula unit
1.0
-3.647 3.647 4.872
3.647 -3.647 4.872
3.647 3.647 -4.872
La Cr I
4 2 2
direct
0.003 0.125 0.378
0.375 0.997 0.122
0.747 0.625 0.622
0.875 0.253 0.878
0.000 0.000 0.000
0.750 0.250 0.500
0.250 0.750 0.500
0.500 0.500 0.000


b.
La2CrI, relaxed, DFT PBE; N(E_F) = 1.746 states/eV per atom; spin magnetization = 4.15 μB per formula unit
1.0
0.000 3.929 3.929
3.929 0.000 3.929
3.929 3.929 0.000
La Cr I
2 1 1
direct
0.250 0.250 0.250
0.750 0.750 0.750
0.000 0.000 0.000
0.500 0.500 0.500


Quick look at relative energies in kJ/mol of atoms: a 9.1; b 0.0.


a.
LaCrI2N, relaxed, DFT PBE; N(E_F) = 1.035 states/eV per atom; spin magnetization = 0.00 μB per formula unit
1.0
5.586 0.000 0.000
0.000 5.586 0.000
0.000 0.000 3.699
La Cr I N
1 1 2 1
direct
0.000 0.000 0.000
0.500 0.500 0.500
0.000 0.500 0.500
0.500 0.000 0.500
0.500 0.500 0.000


b.
LaCrI2N, relaxed, DFT PBE; N(E_F) = 1.210 states/eV per atom; spin magnetization = 4.95 μB per formula unit
1.0
6.467 0.000 0.000
0.000 6.467 0.000
0.000 0.000 4.165
La Cr I N
1 1 2 1
direct
0.000 0.000 0.000
0.500 0.500 0.500
0.000 0.500 0.000
0.500 0.000 0.000
0.000 0.000 0.500


Quick look at relative energies in kJ/mol of atoms: a 0.0; b 25.6.